Entry 1:
Er2TlCd | PBE | optimized geometry

a = 3.6668 Å, b = 3.6668 Å, c = 28.9166 Å
α = 90.00°, β = 90.00°, γ = 120.00°
Space group R-3m (No. 166, hexagonal axes)
Unique sites:
Er: 0.0000 0.0000 0.2499 x6
Tl: 0.0000 0.0000 0.0000 x3
Cd: 0.0000 0.0000 0.5000 x3

Output
**Formation enthalpy at 0 K**: -200 meV/atom
**Calculated total energy**: -0.121 hartree per atom


Entry 2:
KZn2Cu | PBE | optimized geometry

a = 5.328 Å, b = 5.328 Å, c = 16.061 Å
α = 90.00°, β = 90.00°, γ = 90.00°
Space group I4_1/amd (No. 141, origin choice 2)
Unique sites:
K: 0.000 0.250 0.375 x4
Zn: 0.000 0.000 0.000 x8
Cu: 0.000 0.250 0.875 x4

Output
**Formation enthalpy at 0 K**: 184 meV/atom
**Calculated total energy**: -0.064 hartree per atom


Entry 3:
LiZrCoCu | PBE | optimized geometry

a = 6.168 Å, b = 6.168 Å, c = 6.168 Å
α = 90.00°, β = 90.00°, γ = 90.00°
Space group F-43m (No. 216)
Unique sites:
Li: 0.000 0.000 0.000 x4
Zr: 0.000 0.000 0.500 x4
Co: 0.250 0.250 0.750 x4
Cu: 0.250 0.250 0.250 x4

Output
**Formation enthalpy at 0 K**: 15 meV/atom
**Calculated total energy**: -0.199 hartree per atom


Entry 4:
MgRu2Se | PBE | optimized geometry

a = 2.960 Å, b = 2.960 Å, c = 7.487 Å
α = 90.00°, β = 90.00°, γ = 90.00°
Space group P4mm (No. 99)
Unique sites:
Mg: 0.000 0.000 0.000 x1
Ru: 0.000 0.000 0.461 x1
Ru: 0.500 0.500 0.243 x1
Se: 0.500 0.500 0.682 x1

Output
**Energy relative to the elements, uncorrected**: 0.04 eV per atom
**Energy above the most stable polymorph in this dataset**: 0.000 eV per atom
**Calculated total energy**: -0.216 hartree per atom


Entry 5:
TbPa2RhN4 | PBE | optimized geometry

a = 3.511 Å, b = 11.468 Å, c = 11.723 Å
α = 90.00°, β = 90.00°, γ = 90.00°
Space group Cmcm (No. 63)
Unique sites:
Tb: 0.000 0.107 0.250 x4
Pa: 0.000 0.370 0.063 x8
Rh: 0.000 0.156 0.750 x4
N: 0.000 0.000 0.000 x4
N: 0.000 0.271 0.601 x8
N: 0.000 0.471 0.250 x4

Output
**Energy relative to the elements, uncorrected**: -1.28 eV per atom
**Calculated total energy**: -0.342 hartree per atom


Entry 6:
Ba2HgRh | PBE | optimized geometry

a = 8.673 Å, b = 8.673 Å, c = 7.653 Å
α = 90.00°, β = 90.00°, γ = 90.00°
Space group I-42d (No. 122)
Unique sites:
Ba: 0.200 0.750 0.125 x8
Hg: 0.000 0.000 0.500 x4
Rh: 0.000 0.000 0.000 x4

Output
**Formation enthalpy at 0 K**: -73 meV/atom
**Calculated total energy**: -0.108 hartree per atom


Entry 7:
ZrTa2Hg | PBE | optimized geometry

a = 3.547 Å, b = 4.682 Å, c = 9.571 Å
α = 90.00°, β = 90.00°, γ = 90.00°
Space group Cmmm (No. 65)
Unique sites:
Zr: 0.000 0.000 0.000 x2
Ta: 0.000 0.500 0.249 x4
Hg: 0.000 0.000 0.500 x2

Output
**Formation enthalpy at 0 K**: 244 meV/atom
**Calculated total energy**: -0.290 hartree per atom


Entry 8:
NdPa3C | PBE | optimized geometry

a = 4.905 Å, b = 4.905 Å, c = 4.905 Å
α = 90.00°, β = 90.00°, γ = 90.00°
Space group Pm-3m (No. 221)
Unique sites:
Nd: 0.000 0.000 0.000 x1
Pa: 0.000 0.500 0.500 x3
C: 0.500 0.500 0.500 x1

Output
**Formation enthalpy at 0 K**: -24 meV/atom
**Calculated total energy**: -0.313 hartree per atom